Below is a relaxed Rb2MnAgS4 crystal, with properties calculated at the PBE level.

Lattice parameters (Å, degrees): 5.8485 7.3480 12.0477 84.46 75.95 66.55
Closest atoms and distances in Å follow each position.
Fractional positions:
1 Rb 0.1790 0.0000 0.6420  6 S 3.39-3.63
2 Rb 0.8210 0.0000 0.3580  6 S 3.39-3.63
3 Rb 0.5710 0.5000 0.8580  6 S 3.39-3.63
4 Rb 0.9290 0.5000 0.1420  6 S 3.39-3.63
5 Mn 0.2500 0.5000 0.5000  4 S 2.15
6 Mn 0.5000 0.0000 0.0000  4 S 2.15
7 Ag 0.7500 0.5000 0.5000  4 S 2.51
8 Ag 0.0000 0.0000 0.0000  4 S 2.51
9 S 0.3391 0.8113 0.1088  1 Mn 2.15
10 S 0.2592 0.1887 0.8912  1 Mn 2.15
11 S 0.8496 0.8113 0.8912  1 Mn 2.15
12 S 0.5521 0.1887 0.1088  1 Mn 2.15
13 S 0.4109 0.6887 0.3912  1 Mn 2.15
14 S 0.4908 0.3113 0.6088  1 Mn 2.15
15 S 0.9004 0.6887 0.6088  1 Mn 2.15
16 S 0.1979 0.3113 0.3912  1 Mn 2.15

Calculated values
The calculation puts the raw total energy at -4.502 eV/atom. The raw formation energy comes out at -0.6936 eV per atom.